A relaxed SiNi2Pb crystal. Source: Alexandria, functional GGA-PBE.

Cell: 4.4098 4.4098 4.4098 Å, 60.00 60.00 60.00°
Fractional coordinates of all 4 atoms:
Pb1 0.5000 0.5000 0.5000
Ni1 0.2500 0.2500 0.2500
Ni2 0.7500 0.7500 0.7500
Si1 0.0000 0.0000 0.0000

Calculated values
DOS at the Fermi energy = 2.4 states/eV per cell
V = 60.64 Å³ per cell
E_form (uncorrected) = 259 meV per atom
DFT total energy = -4.915 eV/atom
Symmetry = Fm-3m (225)
Relative energy among the computed polymorphs = 389 meV per atom
Theoretical density = 9.658 g cm⁻³
Total magnetization = 0.00 μB per formula unit

A relaxed Pd3F crystal. Source: Alexandria, functional GGA-PBE.

Cell: 4.3712 4.3712 4.3712 Å, 60.00 60.00 60.00°
Fractional coordinates of all 4 atoms:
Pd1 0.2500 0.2500 0.2500
Pd2 0.7500 0.7500 0.7500
Pd3 0.5000 0.5000 0.5000
F1 0.0000 0.0000 0.0000

Calculated values
DOS at the Fermi energy = 4.7 states/eV per cell
V = 59.06 Å³ per cell
E_form (uncorrected) = 40 meV per atom
DFT total energy = -4.322 eV/atom
Symmetry = Fm-3m (225)
Theoretical density = 9.511 g cm⁻³
Total magnetization = 2.00 μB per formula unit

A relaxed Na2IrO5 crystal. Source: Alexandria, functional GGA-PBE.

Cell: 3.8271 6.2486 10.8852 Å, 90.00 90.00 107.83°
Fractional coordinates of all 16 atoms:
Na1 0.8620 0.7240 0.4378
Na2 0.8620 0.7240 0.0622
Na3 0.1380 0.2760 0.5622
Na4 0.1380 0.2760 0.9378
Ir1 0.8428 0.6855 0.7500
Ir2 0.1572 0.3145 0.2500
O1 0.9541 0.9083 0.8691
O2 0.9541 0.9083 0.6309
O3 0.2667 0.5334 0.3743
O4 0.2667 0.5334 0.1257
O5 0.6648 0.3296 0.2500
O6 0.3352 0.6704 0.7500
O7 0.7333 0.4666 0.6257
O8 0.7333 0.4666 0.8743
O9 0.0459 0.0917 0.1309
O10 0.0459 0.0917 0.3691

Calculated values
DOS at the Fermi energy = 7.8 states/eV per cell
V = 247.80 Å³ per cell
E_form (uncorrected) = -823 meV per atom
DFT total energy = -5.360 eV/atom
Symmetry = Cmcm (63)
Relative energy among the computed polymorphs = 74 meV per atom
Theoretical density = 4.264 g cm⁻³
Total magnetization = 1.02 μB per formula unit